No. 1
! DyEr2Lu3OsS2 (PBE-GGA, relaxed); values from VASP
! Crystal system   orthorhombic
! Electronic total energy   -54.11 eV for the cell shown
&SYSTEM
  ibrav = 0, nat = 9, ntyp = 5
/
ATOMIC_SPECIES
S 32.06 S.upf
Lu 174.97 Lu.upf
Dy 162.50 Dy.upf
Er 167.26 Er.upf
Os 190.23 Os.upf
CELL_PARAMETERS angstrom
-3.532 -1.668 -0.532
-0.810 -0.713 7.606
-2.489 6.381 -3.479
ATOMIC_POSITIONS angstrom
S -3.694 3.177 -0.040
Lu -4.862 5.010 1.960
Dy -1.959 3.366 2.451
Er -1.809 1.853 6.200
Er -2.812 6.088 -0.418
Lu -4.442 3.239 4.728
Os -0.015 0.025 0.018
S -3.138 0.825 3.636
Lu -2.593 0.587 0.769


No. 2
! Dy2ErLu3Te2Os (PBE-GGA, relaxed); values from VASP
! Crystal system   orthorhombic
! Electronic total energy   -51.53 eV for the cell shown
&SYSTEM
  ibrav = 0, nat = 9, ntyp = 5
/
ATOMIC_SPECIES
Lu 174.97 Lu.upf
Te 127.60 Te.upf
Dy 162.50 Dy.upf
Os 190.23 Os.upf
Er 167.26 Er.upf
CELL_PARAMETERS angstrom
-0.864 3.627 -1.553
-7.415 -0.296 3.435
6.295 3.249 4.085
ATOMIC_POSITIONS angstrom
Lu 1.054 2.581 0.189
Te -3.275 2.699 2.873
Lu -2.183 1.744 0.036
Dy -4.531 -0.181 2.099
Te 1.292 3.879 3.089
Lu -1.288 4.069 4.968
Os -0.003 0.007 0.017
Dy 3.847 1.985 2.496
Er -0.433 1.143 2.910


No. 3
! DyEr2Lu3Te2Os (PBE-GGA, relaxed); values from VASP
! Crystal system   orthorhombic
! Electronic total energy   -51.44 eV for the cell shown
&SYSTEM
  ibrav = 0, nat = 9, ntyp = 5
/
ATOMIC_SPECIES
Lu 174.97 Lu.upf
Os 190.23 Os.upf
Te 127.60 Te.upf
Er 167.26 Er.upf
Dy 162.50 Dy.upf
CELL_PARAMETERS angstrom
-2.506 -1.243 2.910
5.725 -5.127 2.739
-0.368 7.605 2.932
ATOMIC_POSITIONS angstrom
Lu 3.118 -4.533 3.547
Os 0.011 0.005 0.012
Lu -1.532 5.182 3.695
Te 0.407 2.741 4.321
Er -0.143 2.943 1.135
Er 2.216 -1.984 1.060
Lu 0.015 -0.035 2.797
Te 2.440 -1.508 4.256
Dy 3.273 1.514 3.465


No. 4
! Dy3Er2Lu2Pd2Se2 (PBE-GGA, relaxed); values from VASP
! Crystal system   orthorhombic
! Electronic total energy   -60.16 eV for the cell shown
&SYSTEM
  ibrav = 0, nat = 11, ntyp = 5
/
ATOMIC_SPECIES
Lu 174.97 Lu.upf
Pd 106.42 Pd.upf
Dy 162.50 Dy.upf
Se 78.96 Se.upf
Er 167.26 Er.upf
CELL_PARAMETERS angstrom
-1.932 7.558 4.665
1.932 -7.558 4.665
1.932 7.558 -4.665
ATOMIC_POSITIONS angstrom
Lu 1.932 4.812 -1.188
Pd 0.000 3.973 0.640
Pd 0.000 11.143 0.640
Dy 1.932 0.000 4.603
Se 0.000 0.000 2.225
Er 0.000 2.081 6.895
Dy 0.000 5.715 5.428
Lu 0.000 2.746 3.477
Se 0.000 7.558 3.088
Er 1.932 5.477 2.229
Dy 1.932 1.843 0.763


Copy entry 1 word for word.
! DyEr2Lu3OsS2 (PBE-GGA, relaxed); values from VASP
! Crystal system   orthorhombic
! Electronic total energy   -54.11 eV for the cell shown
&SYSTEM
  ibrav = 0, nat = 9, ntyp = 5
/
ATOMIC_SPECIES
S 32.06 S.upf
Lu 174.97 Lu.upf
Dy 162.50 Dy.upf
Er 167.26 Er.upf
Os 190.23 Os.upf
CELL_PARAMETERS angstrom
-3.532 -1.668 -0.532
-0.810 -0.713 7.606
-2.489 6.381 -3.479
ATOMIC_POSITIONS angstrom
S -3.694 3.177 -0.040
Lu -4.862 5.010 1.960
Dy -1.959 3.366 2.451
Er -1.809 1.853 6.200
Er -2.812 6.088 -0.418
Lu -4.442 3.239 4.728
Os -0.015 0.025 0.018
S -3.138 0.825 3.636
Lu -2.593 0.587 0.769


- Which value of electronic total energy does entry 4 give?
  -60.16 eV for the cell shown